1.
Entry from OQMD: a relaxed structure of HfIn2Ag (PBE-GGA).

abc: 7.016 7.016 7.016
angles: 90.00 90.00 90.00
Space group F-43m (No. 216)
One atom of each set of equivalent atoms:
Hf: 0.000 0.000 0.000 [4 per cell]
In: 0.000 0.000 0.500 [4 per cell]
In: 0.250 0.250 0.250 [4 per cell]
Ag: 0.250 0.250 0.750 [4 per cell]

Total energy in eV/atom: -4.375

---

2.
Entry from OQMD: a relaxed structure of RbAgPSe2S (PBE-GGA).

abc: 12.685 7.416 8.309
angles: 90.00 112.80 90.00
Space group C2/m (No. 12)
One atom of each set of equivalent atoms:
Rb: 0.193 0.000 0.236 [4 per cell]
Ag: 0.000 0.256 0.500 [4 per cell]
P: 0.021 0.500 0.148 [4 per cell]
Se: 0.072 0.251 0.825 [8 per cell]
S: 0.189 0.500 0.283 [4 per cell]

Total energy in eV/atom: -3.896

---

3.
Entry from OQMD: a relaxed structure of RbSm2 (PBE-GGA).

abc: 10.300 10.300 10.300
angles: 90.00 90.00 90.00
Space group Fd-3m (No. 227, origin choice 2)
One atom of each set of equivalent atoms:
Rb: 0.125 0.125 0.125 [8 per cell]
Sm: 0.000 0.000 0.500 [16 per cell]

Total energy in eV/atom: -2.861

---

4.
Entry from OQMD: a relaxed structure of CsScHgS3 (PBE-GGA).

abc: 18.276 3.897 9.029
angles: 90.00 98.98 90.00
Space group C2/m (No. 12)
One atom of each set of equivalent atoms:
Cs: 0.151 0.000 0.068 [4 per cell]
Sc: 0.178 0.000 0.571 [4 per cell]
Hg: 0.020 0.500 0.723 [4 per cell]
S: 0.000 0.000 0.500 [2 per cell]
S: 0.000 0.500 0.000 [2 per cell]
S: 0.164 0.500 0.754 [4 per cell]
S: 0.182 0.500 0.383 [4 per cell]

Total energy in eV/atom: -4.385

---

5.
Entry from OQMD: a relaxed structure of Y2PdAu (PBE-GGA).

abc: 4.276 3.951 11.068
angles: 90.00 90.00 90.00
Space group Amm2 (No. 38)
One atom of each set of equivalent atoms:
Y: 0.000 0.000 0.000 [2 per cell]
Y: 0.500 0.000 0.282 [2 per cell]
Pd: 0.500 0.000 0.548 [2 per cell]
Au: 0.000 0.000 0.725 [2 per cell]

Total energy in eV/atom: -6.227
Formation energy from the elements in eV/atom: -0.88

---

6.
Entry from OQMD: a relaxed structure of La2Zn2SbAsO2 (PBE-GGA).

abc: 4.162 4.162 9.368
angles: 90.00 90.00 90.00
Space group P4mm (No. 99)
One atom of each set of equivalent atoms:
La: 0.000 0.000 0.000 [1 per cell]
La: 0.500 0.500 0.254 [1 per cell]
Zn: 0.000 0.500 0.649 [2 per cell]
Sb: 0.000 0.000 0.462 [1 per cell]
As: 0.500 0.500 0.815 [1 per cell]
O: 0.000 0.500 0.128 [2 per cell]

Total energy in eV/atom: -5.707

---

7.
Entry from OQMD: a relaxed structure of DyTmFe2Ge2C (PBE-GGA).

abc: 10.638 3.952 6.773
angles: 90.00 128.48 90.00
Space group Cm (No. 8)
One atom of each set of equivalent atoms:
Dy: 0.000 0.000 0.000 [2 per cell]
Tm: 0.386 0.500 0.424 [2 per cell]
Fe: 0.138 0.500 0.800 [2 per cell]
Fe: 0.245 0.000 0.620 [2 per cell]
Ge: 0.105 0.500 0.419 [2 per cell]
Ge: 0.280 0.000 0.003 [2 per cell]
C: 0.441 0.000 0.707 [2 per cell]

Total energy in eV/atom: -6.919

---

8.
Entry from OQMD: a relaxed structure of HfNbSi4Ag2 (PBE-GGA).

abc: 3.734 3.734 9.329
angles: 90.00 90.00 90.00
Space group P4mm (No. 99)
One atom of each set of equivalent atoms:
Hf: 0.000 0.000 0.000 [1 per cell]
Nb: 0.500 0.500 0.568 [1 per cell]
Si: 0.000 0.000 0.493 [1 per cell]
Si: 0.000 0.500 0.778 [2 per cell]
Si: 0.500 0.500 0.073 [1 per cell]
Ag: 0.000 0.500 0.284 [2 per cell]

Total energy in eV/atom: -6.176

---

Calculated volume values (in A^3/atom) by entry order: 21.6; 30.0; 45.5; 26.5; 23.4; 20.3; 15.9; 16.3.